(1)
Zr3Al3Ni2Au | PBE | optimized geometry

The total energy comes out at -0.2314 hartree per atom. Its calculated density is 7.20 g/cm³.

```
Zr3Al3Ni2Au
1.0
-1.795 -0.426 -6.509
6.546 0.149 1.701
0.024 -3.885 0.248
Zr Au Ni Al
3 1 2 3
direct
0.000 0.423 0.000
0.423 0.000 0.000
0.577 0.577 0.000
0.000 0.000 0.000
0.333 0.667 0.500
0.667 0.333 0.500
0.261 0.261 0.500
0.739 0.000 0.500
0.000 0.739 0.500
```

***

(2)
Zr2Al2NiAu3 | PBE | optimized geometry

The total energy comes out at -0.2043 hartree per atom. Its calculated density is 10.21 g/cm³.

```
Zr2Al2NiAu3
1.0
4.406 0.000 0.000
-2.203 3.816 0.000
0.000 0.000 8.571
Zr Ni Au Al
2 1 3 2
direct
0.667 0.333 0.240
0.000 0.000 0.755
0.000 0.000 0.074
0.000 0.000 0.396
0.667 0.333 0.590
0.667 0.333 0.922
0.333 0.667 0.024
0.333 0.667 0.499
```

***

(3)
Zr2Al2Ni3Au | PBE | optimized geometry

The total energy comes out at -0.2274 hartree per atom. Its calculated density is 8.01 g/cm³.

```
Zr2Al2Ni3Au
1.0
4.195 0.000 0.000
-2.097 3.633 0.000
0.000 0.000 8.295
Al Zr Ni Au
2 2 3 1
direct
0.667 0.333 0.034
0.667 0.333 0.490
0.000 0.000 0.259
0.333 0.667 0.729
0.333 0.667 0.415
0.333 0.667 0.088
0.000 0.000 0.576
0.000 0.000 0.909
```

***

(4)
AlAu2O4 | PBE | optimized geometry

The total energy comes out at -0.1882 hartree per atom. Its calculated density is 9.36 g/cm³.

```
AlAu2O4
1.0
-5.964 -1.983 -0.897
2.924 4.042 -3.926
1.418 -6.182 0.277
O Al Au
8 2 4
direct
0.054 0.714 0.767
0.054 0.286 0.340
0.696 0.214 0.910
0.696 0.786 0.483
0.090 0.786 0.304
0.660 0.714 0.946
0.233 0.286 0.946
0.517 0.214 0.304
0.000 0.000 0.000
0.750 0.500 0.250
0.375 0.750 0.625
0.875 0.250 0.625
0.375 0.750 0.125
0.375 0.250 0.625
```

***

(5)
Al2Au2O5 | PBE | optimized geometry

The excess energy over the best structure of this formula in the dataset is 0.000 eV per atom. The total energy comes out at -0.2035 hartree per atom. Its calculated density is 8.78 g/cm³.

```
Al2Au2O5
1.0
-6.682 -2.857 2.235
1.695 -2.898 1.364
0.339 1.697 3.184
O Al Au
5 2 2
direct
0.804 0.500 0.000
0.804 0.000 0.500
0.196 0.000 0.500
0.500 0.500 0.500
0.196 0.500 0.000
0.263 0.500 0.500
0.737 0.500 0.500
0.000 0.000 0.000
0.500 0.000 0.000
```

***

(6)
Al2Au2O5 | PBE | optimized geometry

The excess energy over the best structure of this formula in the dataset is 1.272 eV per atom. The total energy comes out at -0.1568 hartree per atom. Its calculated density is 8.07 g/cm³.

```
Al2Au2O5
1.0
6.983 0.000 0.000
0.000 3.944 0.000
0.000 0.000 3.944
O Al Au
5 2 2
direct
0.500 0.500 0.500
0.294 0.000 0.500
0.706 0.000 0.500
0.294 0.500 0.000
0.706 0.500 0.000
0.500 0.000 0.000
0.000 0.000 0.000
0.199 0.500 0.500
0.801 0.500 0.500
```

***

(7)
AlTeAuO | PBE | optimized geometry

The excess energy over the best structure of this formula in the dataset is 0.154 eV per atom. The total energy comes out at -0.1694 hartree per atom. Its calculated density is 8.67 g/cm³.

```
AlTeAuO
1.0
3.712 0.000 0.000
0.000 3.712 0.000
0.000 0.000 10.224
Te Au Al O
2 2 2 2
direct
0.500 0.000 0.273
0.000 0.500 0.727
0.500 0.500 0.500
0.000 0.000 0.500
0.000 0.500 0.077
0.500 0.000 0.923
0.000 0.000 0.000
0.500 0.500 0.000
```

***

(8)
AlTeAuO | PBE | optimized geometry

The excess energy over the best structure of this formula in the dataset is 0.000 eV per atom. The total energy comes out at -0.1750 hartree per atom. Its calculated density is 6.65 g/cm³.

```
AlTeAuO
1.0
-0.994 3.426 2.142
-6.539 -3.616 2.750
2.870 -1.885 4.346
Au O Al Te
2 2 2 2
direct
0.000 0.327 0.121
0.000 0.673 0.621
0.500 0.062 0.219
0.500 0.938 0.719
0.500 0.104 0.523
0.500 0.896 0.023
0.000 0.690 0.127
0.000 0.310 0.627
```

***

(9)
AlOsAu | PBE | optimized geometry

The excess energy over the best structure of this formula in the dataset is 0.000 eV per atom. The total energy comes out at -0.2047 hartree per atom. Its calculated density is 12.28 g/cm³.

```
AlOsAu
1.0
0.000 3.037 3.037
3.037 0.000 3.037
3.037 3.037 0.000
Os Al Au
1 1 1
direct
0.000 0.000 0.000
0.250 0.250 0.250
0.750 0.750 0.750
```

***

(10)
Al2OsAu | PBE | optimized geometry

The total energy comes out at -0.1961 hartree per atom. Its calculated density is 11.76 g/cm³.

```
Al2OsAu
1.0
-0.698 0.373 4.379
-2.051 3.598 1.627
-4.126 -0.338 1.632
Au Al Os
1 2 1
direct
0.250 0.250 0.250
0.750 0.750 0.750
0.000 0.000 0.000
0.500 0.500 0.500
```

***

(11)
AlOsWAu | PBE | optimized geometry

The excess energy over the best structure of this formula in the dataset is 0.181 eV per atom. The total energy comes out at -0.2721 hartree per atom. Its calculated density is 16.04 g/cm³.

```
AlOsWAu
1.0
0.000 3.140 3.140
3.140 0.000 3.140
3.140 3.140 0.000
Al W Au Os
1 1 1 1
direct
0.250 0.250 0.250
0.500 0.500 0.500
0.750 0.750 0.750
0.000 0.000 0.000
```

***

(12)
AlOsWAu | PBE | optimized geometry

The excess energy over the best structure of this formula in the dataset is 0.000 eV per atom. The total energy comes out at -0.2788 hartree per atom. Its calculated density is 15.70 g/cm³.

```
AlOsWAu
1.0
0.000 3.162 3.162
3.162 0.000 3.162
3.162 3.162 0.000
Au Os Al W
1 1 1 1
direct
0.750 0.750 0.750
0.250 0.250 0.250
0.000 0.000 0.000
0.500 0.500 0.500
```

***

Which value of calculated density does entry 11 give?
16.04 g/cm³

***

What is the calculated density in the second record?
10.21 g/cm³

***

Which of these has the highest calculated density?
number 11

***

Which of these has the highest calculated density?
number 11